VASP calculation (PBE-GGA) on an optimized crystal structure of CsSr2LaPt.

**Raw total energy**: -16.71 eV for the cell shown
**Space-group type**: P4/mmm (123)
**N(E_F)**: 5.08 states/eV per cell
**ΔE_f**: -0.30 eV/atom

CIF file:
```
data_CsSr2LaPt
_space_group_name_H-M_alt 'P 1'
_space_group_IT_number 1
_cell_length_a 6.334
_cell_length_b 6.334
_cell_length_c 5.665
_cell_angle_alpha 90.00
_cell_angle_beta 90.00
_cell_angle_gamma 90.00
loop_
_space_group_symop_operation_xyz
'x,y,z'
loop_
_atom_site_label
_atom_site_fract_x
_atom_site_fract_y
_atom_site_fract_z
_atom_site_occupancy
Cs1 0.000 0.000 0.000 1
Sr1 0.000 0.500 0.500 1
Sr2 0.500 0.000 0.500 1
La1 0.500 0.500 0.000 1
Pt1 0.500 0.500 0.500 1
```